1.
The following is a DFT calculation (GGA-PBE) of a geometry-optimized MgHgSO structure.

Structure (POSCAR):
```
MgHgSO
1.0
5.8722 0.0000 0.0000
0.0000 3.7771 0.0000
0.0000 0.0000 13.0956
Mg Hg S O
4 4 4 4
Direct
0.1469 0.2500 0.1808 Mg
0.3531 0.7500 0.6808 Mg
0.6469 0.2500 0.3192 Mg
0.8531 0.7500 0.8192 Mg
0.1904 0.7500 0.3999 Hg
0.3096 0.2500 0.8999 Hg
0.6904 0.7500 0.1001 Hg
0.8096 0.2500 0.6001 Hg
0.2362 0.2500 0.5712 S
0.2638 0.7500 0.0712 S
0.7362 0.2500 0.9288 S
0.7638 0.7500 0.4288 S
0.1821 0.7500 0.8078 O
0.3179 0.2500 0.3078 O
0.6821 0.7500 0.6922 O
0.8179 0.2500 0.1922 O
```

Values from the calculation:
Symmetry: Pnma (62)
Energy relative to the lowest polymorph listed for this composition, eV/atom: 0.145
Density, g/cm3: 6.2

***

2.
The following is a DFT calculation (GGA-PBE) of a geometry-optimized Zr2Ga2CuAu structure.

Structure (POSCAR):
```
Zr2Ga2CuAu
1.0
7.5634 0.0000 0.0000
0.0000 4.3469 0.0000
-2.4292 0.0000 14.2321
Zr Ga Cu Au
8 8 4 4
Direct
0.0000 0.0000 0.0000 Zr
0.0079 0.5000 0.4928 Zr
0.2357 0.0000 0.7367 Zr
0.2466 0.5000 0.2415 Zr
0.4825 0.0000 0.4838 Zr
0.4992 0.5000 0.9992 Zr
0.7433 0.0000 0.2362 Zr
0.7571 0.5000 0.7396 Zr
0.1212 0.5000 0.8608 Ga
0.1268 0.0000 0.3626 Ga
0.3624 0.5000 0.6109 Ga
0.3726 0.0000 0.1237 Ga
0.6105 0.5000 0.3615 Ga
0.6210 0.0000 0.8655 Ga
0.8755 0.5000 0.1244 Ga
0.8800 0.0000 0.6165 Ga
0.0603 0.5000 0.6765 Cu
0.0610 0.0000 0.1826 Cu
0.3066 0.5000 0.4255 Cu
0.5581 0.5000 0.1814 Cu
0.3086 0.0000 0.9293 Au
0.5575 0.0000 0.6753 Au
0.8088 0.0000 0.4271 Au
0.8111 0.5000 0.9309 Au
```

Values from the calculation:
Total moment, μB per atom: 0.0004
Symmetry: Pm (6)
Energy relative to the lowest polymorph listed for this composition, eV/atom: 0.084
Density, g/cm3: 8.3

***

3.
The following is a DFT calculation (GGA-PBE) of a geometry-optimized RbTePdAuSe2 structure.

Structure (POSCAR):
```
RbTePdAuSe2
1.0
1.9045 -8.4702 0.0000
1.9045 8.4702 0.0000
0.0000 0.0000 10.8480
Rb Te Pd Au Se
2 2 2 2 4
Direct
0.2349 0.7651 0.7500 Rb
0.7651 0.2349 0.2500 Rb
0.4500 0.5500 0.2500 Te
0.5500 0.4500 0.7500 Te
0.5000 0.5000 0.0000 Pd
0.5000 0.5000 0.5000 Pd
0.0989 0.9011 0.2500 Au
0.9011 0.0989 0.7500 Au
0.1001 0.8999 0.0225 Se
0.1001 0.8999 0.4775 Se
0.8999 0.1001 0.5225 Se
0.8999 0.1001 0.9775 Se
```

Values from the calculation:
Total DFT energy (no corrections), eV/cell: -43.4
Symmetry: Cmcm (63)
Density, g/cm3: 6.4

***

4.
The following is a DFT calculation (GGA-PBE) of a geometry-optimized PmZnO3 structure.

Structure (POSCAR):
```
PmZnO3
1.0
5.7464 0.0000 0.0000
0.0000 7.6601 0.0000
0.0000 0.0000 5.3643
Pm Zn O
4 4 12
Direct
0.0723 0.2500 0.0187 Pm
0.4277 0.7500 0.5187 Pm
0.5723 0.2500 0.4813 Pm
0.9277 0.7500 0.9813 Pm
0.0000 0.0000 0.5000 Zn
0.0000 0.5000 0.5000 Zn
0.5000 0.0000 0.0000 Zn
0.5000 0.5000 0.0000 Zn
0.0245 0.7500 0.4038 O
0.1929 0.5491 0.7968 O
0.1929 0.9509 0.7968 O
0.3071 0.0491 0.2968 O
0.3071 0.4509 0.2968 O
0.4755 0.2500 0.9038 O
0.5245 0.7500 0.0962 O
0.6929 0.5491 0.7032 O
0.6929 0.9509 0.7032 O
0.8071 0.0491 0.2032 O
0.8071 0.4509 0.2032 O
0.9755 0.2500 0.5962 O
```

Values from the calculation:
Total DFT energy (no corrections), eV/cell: -126.2
Total moment, μB per atom: 0.0001
Symmetry: Pnma (62)
Density, g/cm3: 7.3

***

5.
The following is a DFT calculation (GGA-PBE) of a geometry-optimized NaFeTeAuSe2 structure.

Structure (POSCAR):
```
NaFeTeAuSe2
1.0
1.7585 -7.5970 0.0000
1.7585 7.5970 0.0000
0.0000 0.0000 10.4584
Na Fe Te Au Se
2 2 2 2 4
Direct
0.2347 0.7653 0.7500 Na
0.7653 0.2347 0.2500 Na
0.5000 0.5000 0.0000 Fe
0.5000 0.5000 0.5000 Fe
0.4408 0.5592 0.2500 Te
0.5592 0.4408 0.7500 Te
0.1105 0.8895 0.2500 Au
0.8895 0.1105 0.7500 Au
0.1111 0.8889 0.0134 Se
0.1111 0.8889 0.4866 Se
0.8889 0.1111 0.5134 Se
0.8889 0.1111 0.9866 Se
```

Values from the calculation:
Total DFT energy (no corrections), eV/cell: -49.0
Total moment, μB per atom: 0.2603
Symmetry: Cmcm (63)
Density, g/cm3: 6.7

***

6.
The following is a DFT calculation (GGA-PBE) of a geometry-optimized ZrGaCuIr structure.

Structure (POSCAR):
```
ZrGaCuIr
1.0
6.3371 0.0000 0.0000
0.0000 6.3371 0.0000
0.0000 0.0000 6.3371
Zr Ga Cu Ir
4 4 4 4
Direct
0.0000 0.0000 0.0000 Zr
0.0000 0.5000 0.5000 Zr
0.5000 0.0000 0.5000 Zr
0.5000 0.5000 0.0000 Zr
0.0000 0.0000 0.5000 Ga
0.0000 0.5000 0.0000 Ga
0.5000 0.0000 0.0000 Ga
0.5000 0.5000 0.5000 Ga
0.2500 0.2500 0.7500 Cu
0.2500 0.7500 0.2500 Cu
0.7500 0.2500 0.2500 Cu
0.7500 0.7500 0.7500 Cu
0.2500 0.2500 0.2500 Ir
0.2500 0.7500 0.7500 Ir
0.7500 0.2500 0.7500 Ir
0.7500 0.7500 0.2500 Ir
```

Values from the calculation:
Total moment, μB per atom: 0.0003
Symmetry: F-43m (216)
Energy relative to the lowest polymorph listed for this composition, eV/atom: 0.000
Density, g/cm3: 10.9

***

7.
The following is a DFT calculation (GGA-PBE) of a geometry-optimized PaPOsO structure.

Structure (POSCAR):
```
PaPOsO
1.0
4.2167 0.0000 0.0000
0.0222 5.7651 0.0000
0.0266 0.0035 6.1182
Pa P Os O
2 2 2 2
Direct
0.0000 0.0000 0.0000 Pa
0.0031 0.4999 0.5074 Pa
0.4798 0.9991 0.4668 P
0.4823 0.4990 0.0465 P
0.4991 0.2512 0.7545 Os
0.4992 0.7485 0.7554 Os
0.9773 0.2486 0.2546 O
0.9773 0.7496 0.2536 O
```

Values from the calculation:
Total moment, μB per atom: 0.0008
Symmetry: P1 (1)
Energy relative to the lowest polymorph listed for this composition, eV/atom: 0.668
Density, g/cm3: 10.5

***

8.
The following is a DFT calculation (GGA-PBE) of a geometry-optimized LaSc2 structure.

Structure (POSCAR):
```
LaSc2
1.0
0.0000 5.8984 5.8984
5.8984 0.0000 5.8984
5.8984 5.8984 0.0000
La Sc
2 4
Direct
0.1250 0.1250 0.1250 La
0.8750 0.8750 0.8750 La
0.0000 0.0000 0.0000 Sc
0.0000 0.0000 0.5000 Sc
0.0000 0.5000 0.0000 Sc
0.5000 0.0000 0.0000 Sc
```

Values from the calculation:
Total moment, μB per atom: 0.0032
Symmetry: Fd-3m (227)
Energy relative to the lowest polymorph listed for this composition, eV/atom: 2.451
Density, g/cm3: 1.9
Calculated formation energy, eV/atom: 2.5074